Below is a geometry-optimized TlCrCl2F structure, with properties calculated at the PBE with a Hubbard U level.

Geometry as POSCAR:
```
TlCrCl2F
1.0
-2.8747 -0.0708 4.4414
-0.3649 -5.2687 -0.3202
3.3672 -0.3653 2.1737
Cr Tl F Cl
1 1 1 2
Direct
0.0000 0.0000 0.0000 Cr
0.5000 0.5000 0.5000 Tl
0.0000 0.0000 0.5000 F
0.0000 0.5000 0.0000 Cl
0.5000 0.0000 0.0000 Cl
```

Results
- SG = P4/mmm (123)
- energy relative to the lowest polymorph listed for this composition (eV/f.u.) = 0.000